# 1
First-principles (PBE-GGA) data for a geometry-optimized NbTl5Se6 structure, as listed in the Alexandria database.

- total moment (Bohr magnetons per cell) = 0.00
- formation energy from raw total energies (meV per atom) = -452
- D(E_F) (states/eV/atom) = 0.431

Cell: 7.4483 12.7995 7.6142 Å, 90.00 108.76 90.00°
Last column: nearest neighbours and their distance in Å.
Space group C2/m (No. 12)
One atom of each set of equivalent atoms:
Nb 0.0000 0.0000 0.0000 x2  6 Se 2.61-2.65
Tl 0.0000 0.1713 0.5000 x4  6 Se 3.13-3.47
Tl 0.0000 0.3357 0.0000 x4  6 Se 3.03-3.06
Tl 0.0000 0.5000 0.5000 x2  6 Se 3.15-3.47
Se 0.2145 0.1447 0.2058 x8  1 Nb 2.61
Se 0.2156 0.0000 0.7830 x4  1 Nb 2.65

# 2
First-principles (PBE-GGA) data for a geometry-optimized Dy12Tl6Rh structure, as listed in the Alexandria database.

- total moment (Bohr magnetons per cell) = 0.00
- calculated formation energy (eV per formula unit) = -3.74
- D(E_F) (states/eV/atom) = 0.938

Cell: 12.1712 12.1712 13.4225 Å, 90.00 90.00 120.00°
Last column: nearest neighbours and their distance in Å.
Space group R-3 (No. 148, hexagonal axes)
One atom of each set of equivalent atoms:
Dy 0.0317 0.8428 0.3764 x18  1 Rh 2.70
Dy 0.0334 0.1868 0.8917 x18  4 Tl 3.14-3.23
Tl 0.0083 0.3956 0.7607 x18  8 Dy 3.14-3.43
Rh 0.0000 0.0000 0.5000 x3  6 Dy 2.70

# 3
First-principles (PBE-GGA) data for a geometry-optimized Hf2ZrCdB structure, as listed in the Alexandria database.

- total moment (Bohr magnetons per cell) = 0.00
- calculated formation energy (eV per formula unit) = -1.25
- D(E_F) (states/eV/atom) = 0.559

Cell: 4.6100 4.6100 4.6602 Å, 90.00 90.00 90.00°
Last column: nearest neighbours and their distance in Å.
Space group P4/mmm (No. 123)
One atom of each set of equivalent atoms:
Hf 0.0000 0.5000 0.0000 x2  2 B 2.30
Zr 0.0000 0.0000 0.5000 x1  2 B 2.33
Cd 0.5000 0.5000 0.5000 x1  4 Zr 3.26, 8 Hf 3.28
B 0.0000 0.0000 0.0000 x1  4 Hf 2.30, 2 Zr 2.33

# 4
First-principles (PBE-GGA) data for a geometry-optimized Zr2Nb structure, as listed in the Alexandria database.

- total moment (Bohr magnetons per cell) = 0.00
- calculated formation energy (eV per formula unit) = 0.27
- D(E_F) (states/eV/atom) = 1.672

Cell: 4.9281 3.4674 7.7896 Å, 90.00 106.80 90.00°
Last column: nearest neighbours and their distance in Å.
Space group C2/m (No. 12)
One atom of each set of equivalent atoms:
Zr 0.1428 0.0000 0.3145 x4  2 Nb 2.92, 4 Zr 3.01
Nb 0.0000 0.5000 0.0000 x2  4 Zr 2.92, 4 Nb 3.01

# 5
First-principles (PBE-GGA) data for a geometry-optimized CaFe2Ag structure, as listed in the Alexandria database.

- total moment (Bohr magnetons per cell) = 4.80
- calculated formation energy (eV per formula unit) = 2.01
- D(E_F) (states/eV/atom) = 1.239

Cell: 3.9875 3.9875 4.3571 Å, 90.00 90.00 90.00°
Last column: nearest neighbours and their distance in Å.
Space group P4/mmm (No. 123)
One atom of each set of equivalent atoms:
Ca 0.0000 0.0000 0.0000 x1  4 Ag 2.82, 8 Fe 2.95
Fe 0.0000 0.5000 0.5000 x2  4 Fe 2.82, 4 Ca 2.95, 4 Ag 2.95
Ag 0.5000 0.5000 0.0000 x1  4 Ca 2.82, 8 Fe 2.95

# 6
First-principles (PBE-GGA) data for a geometry-optimized SmTh2Co2 structure, as listed in the Alexandria database.

- total moment (Bohr magnetons per cell) = 0.00
- calculated formation energy (eV per formula unit) = -0.88
- E above lowest polymorph (meV per atom) = 0
- D(E_F) (states/eV/atom) = 1.007

Cell: 4.2728 5.2347 11.4081 Å, 90.00 90.00 90.00°
Last column: nearest neighbours and their distance in Å.
Space group Immm (No. 71)
One atom of each set of equivalent atoms:
Sm 0.0000 0.0000 0.0000 x2  4 Co 2.79
Th 0.0000 0.0000 0.3224 x4  4 Co 2.63-2.84
Co 0.0000 0.5000 0.3422 x4  4 Th 2.63-2.84, 2 Sm 2.79